No. 1
La2CuRuN | PBE | relaxed

Its energy above the most stable polymorph in this dataset is 0.0000 eV per atom. The calculation puts the total moment at 0.00 μB per formula unit. The value obtained for the density of states at the Fermi level is 2.06 states/eV/f.u. As for the formation energy from raw total energies: -54 kJ per mole of atoms.

The structure belongs to space group P4/mmm (No. 123); the cell edges are 5.2074, 5.2074 and 3.8566 Å and the angles 90.00°, 90.00° and 90.00°. Symmetry generates all atoms from La at (0.0000, 0.5000, 0.0000), Cu at (0.0000, 0.0000, 0.5000), Ru at (0.5000, 0.5000, 0.5000) and N at (0.5000, 0.5000, 0.0000).

---

No. 2
ZnIn2Ge2 | PBE | relaxed

Its energy above the most stable polymorph in this dataset is 0.0472 eV per atom. The calculation puts the total moment at 0.00 μB per formula unit. The value obtained for the density of states at the Fermi level is 2.18 states/eV/f.u.

The structure belongs to space group I4/mmm (No. 139); the cell edges are 3.7251, 3.7251 and 16.7643 Å and the angles 90.00°, 90.00° and 90.00°. Symmetry generates all atoms from Zn at (0.0000, 0.0000, 0.0000), In at (0.0000, 0.0000, 0.4017) and Ge at (0.0000, 0.5000, 0.2500).

---

No. 3
NaPrNd | PBE | relaxed

Its energy above the most stable polymorph in this dataset is 0.0000 eV per atom. The calculation puts the total moment at 0.00 μB per formula unit. The value obtained for the density of states at the Fermi level is 3.09 states/eV/f.u.

The structure belongs to space group P4/nmm (No. 129, origin choice 2); the cell edges are 3.6235, 3.6235 and 16.7184 Å and the angles 90.00°, 90.00° and 90.00°. Symmetry generates all atoms from Na at (0.2500, 0.2500, 0.0886), Pr at (0.2500, 0.2500, 0.4170) and Nd at (0.2500, 0.2500, 0.7389).

---

No. 4
YTiN2F | PBE | relaxed

Its energy above the most stable polymorph in this dataset is 1.4589 eV per atom. The calculation puts the total moment at 0.11 μB per formula unit. The value obtained for the density of states at the Fermi level is 5.54 states/eV/f.u. As for the formation energy from raw total energies: -23 kJ per mole of atoms.

The structure belongs to space group P4/mmm (No. 123); the cell edges are 4.4272, 4.4272 and 4.0907 Å and the angles 90.00°, 90.00° and 90.00°. Symmetry generates all atoms from Y at (0.0000, 0.0000, 0.0000), Ti at (0.5000, 0.5000, 0.5000), N at (0.0000, 0.5000, 0.0000) and F at (0.0000, 0.0000, 0.5000).

---

No. 5
Tl2Ag2Cl | PBE | relaxed

Its energy above the most stable polymorph in this dataset is 0.1198 eV per atom. The calculation puts the total moment at 0.00 μB per formula unit. The value obtained for the density of states at the Fermi level is 1.70 states/eV/f.u. As for the formation energy from raw total energies: -7 kJ per mole of atoms.

The structure belongs to space group P4/mbm (No. 127); the cell edges are 8.5395, 8.5395 and 3.4922 Å and the angles 90.00°, 90.00° and 90.00°. Symmetry generates all atoms from Tl at (0.1906, 0.3094, 0.0000), Ag at (0.1125, 0.6125, 0.5000) and Cl at (0.0000, 0.0000, 0.0000).

---

No. 6
PmTl3Cr2Se6 | PBE | relaxed

The calculation puts the total moment at 6.03 μB per formula unit. The value obtained for the density of states at the Fermi level is 1.51 states/eV/f.u. As for the formation energy from raw total energies: -71 kJ per mole of atoms.

The structure belongs to space group C2/m (No. 12); the cell edges are 6.8621, 11.7977 and 8.0341 Å and the angles 90.00°, 106.65° and 90.00°. Symmetry generates all atoms from Pm at (0.0000, 0.0000, 0.0000), Tl at (0.0000, 0.1536, 0.5000), Tl at (0.0000, 0.5000, 0.5000), Cr at (0.0000, 0.3329, 0.0000), Se at (0.1915, 0.5000, 0.1833) and Se at (0.2503, 0.1847, 0.1934).

---

No. 7
TlBiBr2 | PBE | relaxed

Its energy above the most stable polymorph in this dataset is 0.1873 eV per atom. The calculation puts the total moment at 0.00 μB per formula unit. The value obtained for the density of states at the Fermi level is 2.30 states/eV/f.u. As for the formation energy from raw total energies: -26 kJ per mole of atoms.

The structure belongs to space group I-42d (No. 122); the cell edges are 5.6530, 5.6530 and 19.4103 Å and the angles 90.00°, 90.00° and 90.00°. Symmetry generates all atoms from Tl at (0.0000, 0.0000, 0.0000), Bi at (0.0000, 0.0000, 0.5000) and Br at (0.2041, 0.2500, 0.6250).

---

No. 8
Tm3ZrAg2 | PBE | relaxed

Its electronic total energy is -4.807 eV per atom. The calculation puts the total moment at 0.00 μB per formula unit. The value obtained for the density of states at the Fermi level is 5.58 states/eV/f.u.

The structure belongs to space group P4/mmm (No. 123); the cell edges are 3.5034, 3.5034 and 11.8181 Å and the angles 90.00°, 90.00° and 90.00°. Symmetry generates all atoms from Tm at (0.0000, 0.0000, 0.0000), Tm at (0.0000, 0.0000, 0.3133), Zr at (0.5000, 0.5000, 0.5000) and Ag at (0.5000, 0.5000, 0.1558).

---

No. 9
Th2PaMnN5 | PBE | relaxed

The calculation puts the total moment at 2.94 μB per formula unit. The value obtained for the density of states at the Fermi level is 1.39 states/eV/f.u. As for the formation energy from raw total energies: -103 kJ per mole of atoms.

The structure belongs to space group P4/mbm (No. 127); the cell edges are 6.5954, 6.5954 and 5.7767 Å and the angles 90.00°, 90.00° and 90.00°. Symmetry generates all atoms from Th at (0.1664, 0.3336, 0.0000), Pa at (0.0000, 0.0000, 0.5000), Mn at (0.0000, 0.5000, 0.5000), N at (0.0000, 0.0000, 0.0000) and N at (0.1538, 0.6538, 0.2805).

---

No. 10
LaCoSe2 | PBE | relaxed

Its energy above the most stable polymorph in this dataset is 0.4864 eV per atom. The calculation puts the total moment at 2.34 μB per formula unit. The value obtained for the density of states at the Fermi level is 3.52 states/eV/f.u. As for the formation energy from raw total energies: -53 kJ per mole of atoms.

The structure belongs to space group P4/mmm (No. 123); the cell edges are 3.5490, 3.5490 and 6.8646 Å and the angles 90.00°, 90.00° and 90.00°. Symmetry generates all atoms from La at (0.0000, 0.0000, 0.0000), Co at (0.0000, 0.0000, 0.5000) and Se at (0.5000, 0.5000, 0.2715).

---

No. 11
SnAuCl2 | PBE | relaxed

Its energy above the most stable polymorph in this dataset is 0.1289 eV per atom. The calculation puts the total moment at 0.00 μB per formula unit. The value obtained for the density of states at the Fermi level is 1.01 states/eV/f.u. As for the formation energy from raw total energies: -15 kJ per mole of atoms.

The structure belongs to space group I-42d (No. 122); the cell edges are 4.7601, 4.7601 and 18.1548 Å and the angles 90.00°, 90.00° and 90.00°. Symmetry generates all atoms from Sn at (0.0000, 0.0000, 0.0000), Au at (0.0000, 0.0000, 0.5000) and Cl at (0.2332, 0.2500, 0.6250).

---

No. 12
Pm6HoSc2 | PBE | relaxed

Its energy above the most stable polymorph in this dataset is 0.0000 eV per atom. The calculation puts the total moment at 0.00 μB per formula unit. The value obtained for the density of states at the Fermi level is 14.16 states/eV/f.u.

The structure belongs to space group P2/m (No. 10); the cell edges are 8.6586, 3.5297 and 9.5887 Å and the angles 90.00°, 102.38° and 90.00°. Symmetry generates all atoms from Pm at (0.0177, 0.0000, 0.1844), Pm at (0.3163, 0.5000, 0.0225), Pm at (0.3464, 0.5000, 0.3829), Ho at (0.0000, 0.5000, 0.5000) and Sc at (0.3394, 0.0000, 0.7058).

---

No. 13
GaCu3Sb | PBE | relaxed

Its energy above the most stable polymorph in this dataset is 0.0910 eV per atom. The calculation puts the total moment at 0.00 μB per formula unit. The value obtained for the density of states at the Fermi level is 2.89 states/eV/f.u. As for the formation energy from raw total energies: 58 kJ per mole of atoms.

The structure belongs to space group Pm-3m (No. 221); the cell edges are 4.8781, 4.8781 and 4.8781 Å and the angles 90.00°, 90.00° and 90.00°. Symmetry generates all atoms from Ga at (0.0000, 0.0000, 0.0000), Cu at (0.0000, 0.5000, 0.5000) and Sb at (0.5000, 0.5000, 0.5000).

---

No. 14
LiZnIn2 | PBE | relaxed

Its electronic total energy is -2.238 eV per atom. The calculation puts the total moment at 0.00 μB per formula unit. The value obtained for the density of states at the Fermi level is 1.42 states/eV/f.u.

The structure belongs to space group Cmmm (No. 65); the cell edges are 6.1738, 8.3057 and 3.2278 Å and the angles 90.00°, 90.00° and 90.00°. Symmetry generates all atoms from Li at (0.0000, 0.0000, 0.0000), Zn at (0.0000, 0.5000, 0.0000) and In at (0.2500, 0.2500, 0.5000).

---

No. 15
MoBr3 | PBE | relaxed

The calculation puts the total moment at 0.00 μB per formula unit. The value obtained for the density of states at the Fermi level is 3.51 states/eV/f.u. As for the formation energy from raw total energies: 15 kJ per mole of atoms.

The structure belongs to space group Pmm2 (No. 25); the cell edges are 3.2404, 3.2519 and 9.7814 Å and the angles 90.00°, 90.00° and 90.00°. Symmetry generates all atoms from Mo at (0.0000, 0.0000, 0.0000), Br at (0.0000, 0.5000, 0.8080), Br at (0.5000, 0.0000, 0.4842) and Br at (0.5000, 0.5000, 0.1462).

---

No. 16
NaSiPb | PBE | relaxed

Its energy above the most stable polymorph in this dataset is 0.0000 eV per atom. The calculation puts the total moment at 0.00 μB per formula unit. The value obtained for the density of states at the Fermi level is 1.64 states/eV/f.u. As for the formation energy from raw total energies: -1 kJ per mole of atoms.

The structure belongs to space group Cm (No. 8); the cell edges are 6.6549, 3.8353 and 13.0487 Å and the angles 90.00°, 99.86° and 90.00°. Symmetry generates all atoms from Na at (0.0000, 0.0000, 0.0000), Na at (0.1300, 0.0000, 0.3904), Si at (0.2217, 0.5000, 0.1654), Si at (0.4085, 0.0000, 0.2253), Pb at (0.0308, 0.5000, 0.6007) and Pb at (0.2645, 0.0000, 0.7886).

---

No. 17
TeMo3P3 | PBE | relaxed

Its energy above the most stable polymorph in this dataset is 0.0000 eV per atom. The calculation puts the total moment at 0.00 μB per formula unit. The value obtained for the density of states at the Fermi level is 4.67 states/eV/f.u. As for the formation energy from raw total energies: -6 kJ per mole of atoms.

The structure belongs to space group P6_3/m (No. 176); the cell edges are 7.7203, 7.7203 and 4.6009 Å and the angles 90.00°, 90.00° and 120.00°. Symmetry generates all atoms from Te at (0.3333, 0.6667, 0.2500), Mo at (0.0594, 0.2502, 0.2500) and P at (0.0917, 0.4024, 0.7500).

---

No. 18
YBe2Se | PBE | relaxed

The calculation puts the total moment at 0.00 μB per formula unit. The value obtained for the density of states at the Fermi level is 2.09 states/eV/f.u. As for the formation energy from raw total energies: -18 kJ per mole of atoms.

The structure belongs to space group Pmm2 (No. 25); the cell edges are 3.6129, 3.8513 and 5.1495 Å and the angles 90.00°, 90.00° and 90.00°. Symmetry generates all atoms from Y at (0.0000, 0.0000, 0.0000), Be at (0.5000, 0.0000, 0.5548), Be at (0.5000, 0.5000, 0.7270) and Se at (0.5000, 0.5000, 0.2526).

---

No. 19
DyFe4As12 | PBE | relaxed

Its electronic total energy is -5.902 eV per atom. The calculation puts the total moment at 1.09 μB per formula unit. The value obtained for the density of states at the Fermi level is 14.94 states/eV/f.u.

The structure belongs to space group Im-3 (No. 204); the cell edges are 8.3354, 8.3354 and 8.3354 Å and the angles 90.00°, 90.00° and 90.00°. Symmetry generates all atoms from Dy at (0.0000, 0.0000, 0.0000), Fe at (0.2500, 0.2500, 0.2500) and As at (0.0000, 0.1551, 0.3410).

---

No. 20
Be2FeBRu | PBE | relaxed

Its electronic total energy is -6.632 eV per atom. The calculation puts the total moment at 1.54 μB per formula unit. The value obtained for the density of states at the Fermi level is 2.39 states/eV/f.u.

The structure belongs to space group Imm2 (No. 44); the cell edges are 2.8406, 3.3065 and 9.6740 Å and the angles 90.00°, 90.00° and 90.00°. Symmetry generates all atoms from Be at (0.0000, 0.0000, 0.0000), Be at (0.0000, 0.5000, 0.3200), Fe at (0.0000, 0.0000, 0.4675), B at (0.0000, 0.5000, 0.1201) and Ru at (0.0000, 0.5000, 0.7071).